(1)
A plane-wave DFT calculation with PBE was carried out for a relaxed structure of Al2HPdRu.

a b c (Å): 4.154 4.154 3.432
angles (deg): 90.00 90.00 90.00
Fractional positions:
Ru 0.000 0.000 0.500
Al 0.000 0.500 0.000
Al 0.500 0.000 0.000
Pd 0.500 0.500 0.500
H 0.000 0.000 0.000

Computed properties:
Magnetization: 0.00 μB per formula unit
Total energy: -5.5465 eV per atom
N(E_F): 1.3 states/eV/f.u.

---

(2)
A plane-wave DFT calculation with PBE was carried out for a relaxed structure of AlHPd2Ru.

a b c (Å): 3.904 3.904 4.009
angles (deg): 90.00 90.00 90.00
Fractional positions:
Ru 0.000 0.000 0.500
Al 0.500 0.500 0.500
Pd 0.000 0.500 0.000
Pd 0.500 0.000 0.000
H 0.000 0.000 0.000

Computed properties:
Magnetization: 0.00 μB per formula unit
Total energy: -5.6268 eV per atom
N(E_F): 3.5 states/eV/f.u.

---

(3)
A plane-wave DFT calculation with PBE was carried out for a relaxed structure of AlSb2H2Pd7.

a b c (Å): 3.985 3.985 11.376
angles (deg): 79.89 79.89 90.05
Fractional positions:
Al 0.000 0.000 0.000
Sb 0.805 0.805 0.387
Sb 0.195 0.195 0.613
H 0.589 0.589 0.825
H 0.411 0.411 0.175
Pd 0.500 0.500 0.000
Pd 0.315 0.315 0.368
Pd 0.685 0.685 0.632
Pd 0.911 0.411 0.177
Pd 0.411 0.911 0.177
Pd 0.589 0.089 0.823
Pd 0.089 0.589 0.823

Computed properties:
Magnetization: 0.00 μB per formula unit
Total energy: -4.9872 eV per atom
N(E_F): 2.0 states/eV/f.u.

---

(4)
A plane-wave DFT calculation with PBE was carried out for a relaxed structure of ScAlHPd2.

a b c (Å): 4.159 4.159 3.983
angles (deg): 90.00 90.00 90.00
Fractional positions:
Sc 0.000 0.000 0.500
H 0.000 0.000 0.000
Al 0.500 0.500 0.500
Pd 0.000 0.500 0.000
Pd 0.500 0.000 0.000

Computed properties:
Magnetization: 0.00 μB per formula unit
Total energy: -5.3030 eV per atom
N(E_F): 3.9 states/eV/f.u.